Entry 1:
The following is a DFT calculation (GGA-PBE) of a relaxed Cu3Ge crystal.

Structure (POSCAR):
```
Cu3Ge
1.0
-3.038 2.090 1.967
-3.120 -2.719 -1.930
0.372 -3.396 4.183
Cu Ge
6 2
Direct
0.000 0.168 0.500 Cu
0.500 0.832 0.000 Cu
0.500 0.335 0.247 Cu
0.500 0.335 0.753 Cu
0.000 0.665 0.253 Cu
0.000 0.665 0.747 Cu
0.500 0.826 0.500 Ge
0.000 0.174 0.000 Ge
```

Values from the calculation:
- formation energy (eV/f.u.) = 0.0


Entry 2:
The following is a DFT calculation (GGA-PBE) of a relaxed KRbAl2Cl8 crystal.

Structure (POSCAR):
```
KRbAl2Cl8
1.0
-5.613 2.158 3.288
-6.106 -2.734 -1.486
-2.540 -6.909 7.343
K Rb Al Cl
1 1 2 8
Direct
0.000 0.000 0.000 K
0.500 0.500 0.500 Rb
0.244 0.244 0.269 Al
0.756 0.756 0.731 Al
0.169 0.169 0.493 Cl
0.537 0.321 0.196 Cl
0.831 0.831 0.507 Cl
0.947 0.537 0.196 Cl
0.053 0.463 0.804 Cl
0.321 0.947 0.196 Cl
0.679 0.053 0.804 Cl
0.463 0.679 0.804 Cl
```

Values from the calculation:
- ΔE_f (raw) (eV per atom) = -1.7684


Entry 3:
The following is a DFT calculation (GGA-PBE) of a relaxed TlP2Ir2 crystal.

Structure (POSCAR):
```
TlP2Ir2
1.0
-4.169 -6.264 2.161
3.667 -4.307 -5.412
2.032 -0.689 1.925
P Tl Ir
4 2 4
Direct
0.372 0.872 0.000 P
0.872 0.628 0.000 P
0.628 0.128 0.000 P
0.128 0.372 0.000 P
0.000 0.000 0.000 Tl
0.500 0.500 0.000 Tl
0.127 0.627 0.500 Ir
0.627 0.873 0.500 Ir
0.873 0.373 0.500 Ir
0.373 0.127 0.500 Ir
```

Values from the calculation:
- energy above the most stable polymorph in this dataset (meV per atom) = 617
- formation energy (eV/f.u.) = 1.2


Entry 4:
The following is a DFT calculation (GGA-PBE) of a relaxed Mg2CdIn4Pb crystal.

Structure (POSCAR):
```
Mg2CdIn4Pb
1.0
4.656 0.000 0.000
2.328 5.307 -0.532
2.328 -0.178 8.269
Mg Cd In Pb
2 1 4 1
Direct
0.739 0.763 0.760 Mg
0.261 0.237 0.240 Mg
0.000 0.000 0.000 Cd
0.122 0.121 0.636 In
0.371 0.374 0.883 In
0.878 0.879 0.364 In
0.629 0.626 0.117 In
0.500 0.500 0.500 Pb
```

Values from the calculation:
- formation energy (eV/f.u.) = -0.1


Entry 5:
The following is a DFT calculation (GGA-PBE) of a relaxed Cd2TeMoC crystal.

Structure (POSCAR):
```
Cd2TeMoC
1.0
5.709 0.000 0.000
0.000 5.371 0.000
0.000 0.000 5.709
Mo Te C Cd
1 1 1 2
Direct
0.000 0.500 0.000 Mo
0.000 0.000 0.000 Te
0.500 0.500 0.500 C
0.000 0.000 0.500 Cd
0.500 0.000 0.000 Cd
```

Values from the calculation:
- ΔE_f (raw) (eV per atom) = 2.3307


Entry 6:
The following is a DFT calculation (GGA-PBE) of a relaxed Rb2TbHoSe4 crystal.

Structure (POSCAR):
```
Rb2TbHoSe4
1.0
-1.973 -3.537 1.263
3.403 0.423 6.498
-7.164 4.249 0.708
Rb Tb Ho Se
2 1 1 4
Direct
0.500 0.000 0.500 Rb
0.000 0.500 0.500 Rb
0.500 0.500 0.000 Tb
0.000 0.000 0.000 Ho
0.500 0.230 0.195 Se
0.500 0.770 0.805 Se
0.000 0.266 0.804 Se
0.000 0.734 0.196 Se
```

Values from the calculation:
- ΔE_f (raw) (eV per atom) = -1.7388


- Which formula does entry 6 have?
  Rb2TbHoSe4